Record 1
# CsBe2ZnF8

An optimized crystal structure of CsBe2ZnF8 (GGA-PBE, Alexandria).

Cell lengths 5.118, 5.118, 8.549 Å; angles 72.58, 72.58, 60.00 degrees
Last column: magnetic moment on the atom in μB.
Sites, in units of the cell vectors:
Cs: 0.500 0.500 0.500  0.01
F: 0.228 0.023 0.146  0.09
F: 0.603 0.228 0.146  0.09
F: 0.397 0.772 0.854  0.09
F: 0.772 0.977 0.854  0.09
F: 0.023 0.603 0.146  0.09
F: 0.202 0.202 0.394  0.17
F: 0.798 0.798 0.606  0.17
F: 0.977 0.397 0.854  0.09
Be: 0.266 0.266 0.201  0.00
Be: 0.734 0.734 0.799  0.00
Zn: 0.000 0.000 0.000  0.16

Properties
ΔE_f (raw), kJ per mole of atoms: -260
Size of the total moment, μB per formula unit: 1.11
Symmetry: No. 148


Record 2
# CsBe2Fe

An optimized crystal structure of CsBe2Fe (GGA-PBE, Alexandria).

Cell lengths 4.958, 4.958, 4.958 Å; angles 60.00, 60.00, 60.00 degrees
Last column: magnetic moment on the atom in μB.
Sites, in units of the cell vectors:
Fe: 0.000 0.000 0.000  3.06
Cs: 0.500 0.500 0.500  0.01
Be: 0.750 0.750 0.750  -0.02
Be: 0.250 0.250 0.250  -0.02

Properties
Size of the total moment, μB per formula unit: 3.06
Symmetry: No. 225


Record 3
# Cs2BeFe

An optimized crystal structure of Cs2BeFe (GGA-PBE, Alexandria).

Cell lengths 6.227, 6.227, 6.227 Å; angles 60.00, 60.00, 60.00 degrees
Last column: magnetic moment on the atom in μB.
Sites, in units of the cell vectors:
Cs: 0.250 0.250 0.250  -0.02
Cs: 0.750 0.750 0.750  -0.02
Fe: 0.500 0.500 0.500  3.10
Be: 0.000 0.000 0.000  -0.06

Properties
Size of the total moment, μB per formula unit: 2.65
Symmetry: No. 225


| no. | total energy (eV/cell) |
| --- | --- |
| 1 | -56.82 |
| 2 | -9.66 |
| 3 | -8.32 |